1.
Material: Cs3K2WSe6
Method: DFT, GGA-PBE
State: optimized geometry

abc: 8.040 8.040 8.327
angles: 99.48 99.48 119.42
Atoms (fractional coordinates):
Cs  0.179  0.821  0.500
Cs  0.821  0.179  0.500
Cs  0.500  0.500  0.500
K  0.335  0.665  0.000
K  0.665  0.335  0.000
W  0.000  0.000  0.000
Se  0.938  0.676  0.816
Se  0.808  0.808  0.189
Se  0.062  0.324  0.184
Se  0.676  0.938  0.816
Se  0.192  0.192  0.811
Se  0.324  0.062  0.184

E_form (uncorrected) = -755 meV/atom
space group = C2/m, No. 12
total moment = 1.0 μB/f.u.

---

2.
Material: CsKWSe4
Method: DFT, GGA-PBE
State: optimized geometry

abc: 6.986 7.420 10.603
angles: 90.00 110.35 90.00
Atoms (fractional coordinates):
Cs  0.660  0.750  0.899
Cs  0.340  0.250  0.101
K  0.792  0.750  0.481
K  0.208  0.250  0.519
W  0.170  0.750  0.289
W  0.830  0.250  0.711
Se  0.040  0.504  0.776
Se  0.960  0.004  0.224
Se  0.960  0.496  0.224
Se  0.040  0.996  0.776
Se  0.410  0.750  0.180
Se  0.590  0.250  0.820
Se  0.330  0.750  0.523
Se  0.670  0.250  0.477

E_form (uncorrected) = -866 meV/atom
space group = P2_1/m, No. 11
total moment = 0.0 μB/f.u.

---

3.
Material: Cs2KWSe4
Method: DFT, GGA-PBE
State: optimized geometry

abc: 7.378 8.037 13.860
angles: 82.98 74.56 62.68
Atoms (fractional coordinates):
Cs  0.184  0.000  0.631
Cs  0.816  0.000  0.369
Cs  0.566  0.500  0.869
Cs  0.934  0.500  0.131
K  0.750  0.500  0.500
K  0.000  0.000  0.000
W  0.250  0.500  0.500
W  0.500  0.000  0.000
Se  0.372  0.799  0.105
Se  0.276  0.201  0.895
Se  0.829  0.799  0.895
Se  0.523  0.201  0.105
Se  0.378  0.701  0.395
Se  0.474  0.299  0.605
Se  0.921  0.701  0.605
Se  0.227  0.299  0.395

E_form (uncorrected) = -769 meV/atom
space group = Fddd, No. 70
total moment = 1.0 μB/f.u.

---

4.
Material: CsKZnSe2
Method: DFT, GGA-PBE
State: optimized geometry

abc: 6.917 5.848 8.321
angles: 90.00 90.00 90.00
Atoms (fractional coordinates):
Cs  0.224  0.250  0.500
Cs  0.776  0.750  0.500
K  0.587  0.750  0.000
K  0.413  0.250  0.000
Zn  0.000  0.000  0.000
Zn  0.000  0.500  0.000
Se  0.817  0.250  0.788
Se  0.817  0.250  0.212
Se  0.183  0.750  0.788
Se  0.183  0.750  0.212

E_form (uncorrected) = -759 meV/atom
space group = Pmma, No. 51
total moment = 0.0 μB/f.u.

---

5.
Material: CsKZrSe3
Method: DFT, GGA-PBE
State: optimized geometry

abc: 7.304 7.934 8.743
angles: 63.01 84.67 78.18
Atoms (fractional coordinates):
Cs  0.250  0.248  0.503
Cs  0.750  0.752  0.497
K  0.250  0.585  0.830
K  0.750  0.415  0.170
Zr  0.750  0.048  0.904
Zr  0.250  0.952  0.096
Se  0.501  0.823  0.920
Se  0.999  0.257  0.920
Se  0.750  0.210  0.581
Se  0.499  0.177  0.080
Se  0.001  0.743  0.080
Se  0.250  0.790  0.419

E_form (uncorrected) = -1366 meV/atom
space group = C2/c, No. 15
total moment = 0.0 μB/f.u.

---

6.
Material: CsKZrSe2
Method: DFT, GGA-PBE
State: optimized geometry

abc: 5.397 6.253 5.397
angles: 90.00 90.00 90.00
Atoms (fractional coordinates):
Cs  0.500  0.500  0.500
K  0.000  0.500  0.000
Se  0.000  0.000  0.500
Se  0.500  0.000  0.000
Zr  0.000  0.000  0.000

E_form (uncorrected) = -574 meV/atom
space group = P4/mmm, No. 123
total moment = 0.9 μB/f.u.

---

7.
Material: CsKSi3
Method: DFT, GGA-PBE
State: optimized geometry

abc: 5.829 5.829 5.829
angles: 90.00 90.00 90.00
Atoms (fractional coordinates):
Cs  0.000  0.000  0.000
K  0.500  0.500  0.500
Si  0.000  0.500  0.000
Si  0.000  0.000  0.500
Si  0.500  0.000  0.000

E_form (uncorrected) = 1748 meV/atom
space group = Pm-3m, No. 221
total moment = 0.0 μB/f.u.
E above lowest polymorph = 0.201 eV/atom

---

8.
Material: Cs3KSi
Method: DFT, GGA-PBE
State: optimized geometry

abc: 8.143 8.143 8.143
angles: 90.00 90.00 90.00
Atoms (fractional coordinates):
Cs  0.000  0.500  0.000
Cs  0.000  0.000  0.500
Cs  0.500  0.000  0.000
K  0.000  0.000  0.000
Si  0.500  0.500  0.500

E_form (uncorrected) = 771 meV/atom
space group = Pm-3m, No. 221
total moment = 2.0 μB/f.u.

---

9.
Material: CsK3Si
Method: DFT, GGA-PBE
State: optimized geometry

abc: 7.822 7.822 7.822
angles: 90.00 90.00 90.00
Atoms (fractional coordinates):
Cs  0.000  0.000  0.000
K  0.000  0.500  0.000
K  0.000  0.000  0.500
K  0.500  0.000  0.000
Si  0.500  0.500  0.500

E_form (uncorrected) = 975 meV/atom
space group = Pm-3m, No. 221
total moment = 2.0 μB/f.u.

---

10.
Material: CsKSi3
Method: DFT, GGA-PBE
State: optimized geometry

abc: 5.830 5.830 5.830
angles: 90.00 90.00 90.00
Atoms (fractional coordinates):
Cs  0.500  0.500  0.500
K  0.000  0.000  0.000
Si  0.000  0.500  0.000
Si  0.000  0.000  0.500
Si  0.500  0.000  0.000

E_form (uncorrected) = 1546 meV/atom
space group = Pm-3m, No. 221
total moment = 0.0 μB/f.u.
E above lowest polymorph = 0.000 eV/atom

---

11.
Material: CsKSi2Sn
Method: DFT, GGA-PBE
State: optimized geometry

abc: 5.405 6.619 5.405
angles: 90.00 90.00 90.00
Atoms (fractional coordinates):
Cs  0.000  0.500  0.000
K  0.500  0.500  0.500
Si  0.000  0.000  0.500
Si  0.500  0.000  0.000
Sn  0.000  0.000  0.000

E_form (uncorrected) = 659 meV/atom
space group = P4/mmm, No. 123
total moment = 0.0 μB/f.u.

---

12.
Material: CsKSiTe3
Method: DFT, GGA-PBE
State: optimized geometry

abc: 7.891 7.891 9.964
angles: 70.11 70.11 66.41
Atoms (fractional coordinates):
Cs  0.663  0.663  0.784
Cs  0.337  0.337  0.216
K  0.229  0.771  0.500
K  0.771  0.229  0.500
Si  0.985  0.985  0.890
Si  0.015  0.015  0.110
Te  0.161  0.161  0.656
Te  0.129  0.638  0.877
Te  0.638  0.129  0.877
Te  0.362  0.871  0.123
Te  0.871  0.362  0.123
Te  0.839  0.839  0.344

E_form (uncorrected) = -555 meV/atom
space group = C2/m, No. 12
total moment = 0.8 μB/f.u.

---

13.
Material: Cs2KSiTe4
Method: DFT, GGA-PBE
State: optimized geometry

abc: 7.623 8.780 13.380
angles: 82.90 73.45 64.27
Atoms (fractional coordinates):
Cs  0.185  0.000  0.630
Cs  0.815  0.000  0.370
Cs  0.565  0.500  0.870
Cs  0.935  0.500  0.130
K  0.750  0.500  0.500
K  0.000  0.000  0.000
Si  0.250  0.500  0.500
Si  0.500  0.000  0.000
Te  0.364  0.804  0.122
Te  0.290  0.196  0.878
Te  0.832  0.804  0.878
Te  0.514  0.196  0.122
Te  0.386  0.696  0.378
Te  0.460  0.304  0.622
Te  0.918  0.696  0.622
Te  0.236  0.304  0.378

E_form (uncorrected) = -601 meV/atom
space group = Fddd, No. 70
total moment = 0.0 μB/f.u.

---

14.
Material: CsK2TlSi
Method: DFT, GGA-PBE
State: optimized geometry

abc: 6.693 6.693 5.462
angles: 90.00 90.00 90.00
Atoms (fractional coordinates):
Cs  0.500  0.500  0.500
Tl  0.000  0.000  0.500
Si  0.000  0.000  0.000
K  0.000  0.500  0.000
K  0.500  0.000  0.000

E_form (uncorrected) = 159 meV/atom
space group = P4/mmm, No. 123
total moment = 0.3 μB/f.u.

---

15.
Material: CsKSn4
Method: DFT, GGA-PBE
State: optimized geometry

abc: 6.595 6.595 6.595
angles: 60.00 60.00 60.00
Atoms (fractional coordinates):
Cs  0.000  0.000  0.000
K  0.250  0.250  0.250
Sn  0.624  0.624  0.128
Sn  0.624  0.128  0.624
Sn  0.624  0.624  0.624
Sn  0.128  0.624  0.624

ΔH_f (0 K) = -0.102 eV per atom
space group = F-43m, No. 216
total moment = 0.0 μB/f.u.

---

16.
Material: CsK2Sn2
Method: DFT, GGA-PBE
State: optimized geometry

abc: 10.104 10.104 4.293
angles: 90.00 90.00 90.00
Atoms (fractional coordinates):
Cs  0.000  0.000  0.000
Cs  0.500  0.500  0.000
K  0.187  0.687  0.500
K  0.687  0.813  0.500
K  0.813  0.313  0.500
K  0.313  0.187  0.500
Sn  0.400  0.900  0.000
Sn  0.900  0.600  0.000
Sn  0.600  0.100  0.000
Sn  0.100  0.400  0.000

ΔH_f (0 K) = -0.094 eV per atom
space group = P4/mbm, No. 127
total moment = 0.0 μB/f.u.
E above lowest polymorph = 0.078 eV/atom

---

17.
Material: Cs2KSn
Method: DFT, GGA-PBE
State: optimized geometry

abc: 6.746 6.746 6.746
angles: 60.00 60.00 60.00
Atoms (fractional coordinates):
Cs  0.250  0.250  0.250
Cs  0.750  0.750  0.750
K  0.000  0.000  0.000
Sn  0.500  0.500  0.500

ΔH_f (0 K) = 0.032 eV per atom
space group = Fm-3m, No. 225
total moment = 1.0 μB/f.u.
E above lowest polymorph = 0.000 eV/atom

---

18.
Material: CsK2Sn2
Method: DFT, GGA-PBE
State: optimized geometry

abc: 6.082 6.082 7.939
angles: 67.48 67.48 90.00
Atoms (fractional coordinates):
Cs  0.000  0.000  0.000
K  0.750  0.250  0.500
K  0.250  0.750  0.500
Sn  0.399  0.399  0.201
Sn  0.601  0.601  0.799

ΔH_f (0 K) = -0.139 eV per atom
space group = I4/mmm, No. 139
total moment = 0.0 μB/f.u.
E above lowest polymorph = 0.033 eV/atom

---

19.
Material: CsK2Sn
Method: DFT, GGA-PBE
State: optimized geometry

abc: 4.185 4.185 15.849
angles: 82.41 82.41 60.00
Atoms (fractional coordinates):
Cs  0.500  0.500  0.500
K  0.074  0.074  0.779
K  0.926  0.926  0.221
Sn  0.000  0.000  0.000

ΔH_f (0 K) = 0.339 eV per atom
space group = R-3m, No. 166
total moment = 0.0 μB/f.u.
E above lowest polymorph = 0.382 eV/atom

---

20.
Material: CsK2Sn2
Method: DFT, GGA-PBE
State: optimized geometry

abc: 5.830 5.830 8.069
angles: 68.82 68.82 90.00
Atoms (fractional coordinates):
Cs  0.000  0.000  0.000
K  0.376  0.376  0.247
K  0.624  0.624  0.753
Sn  0.750  0.250  0.500
Sn  0.250  0.750  0.500

ΔH_f (0 K) = 0.173 eV per atom
space group = I4/mmm, No. 139
total moment = 0.9 μB/f.u.
E above lowest polymorph = 0.345 eV/atom

---

21.
Material: CsK2Sn6
Method: DFT, GGA-PBE
State: optimized geometry

abc: 4.604 9.121 9.121
angles: 85.94 75.37 75.37
Atoms (fractional coordinates):
Cs  0.000  0.000  0.000
K  0.180  0.320  0.320
K  0.820  0.680  0.680
Sn  0.323  0.948  0.406
Sn  0.677  0.052  0.594
Sn  0.677  0.594  0.052
Sn  0.500  0.377  0.623
Sn  0.500  0.623  0.377
Sn  0.323  0.406  0.948

ΔH_f (0 K) = -0.100 eV per atom
space group = Immm, No. 71
total moment = 0.0 μB/f.u.

---

22.
Material: Cs2KSn2
Method: DFT, GGA-PBE
State: optimized geometry

abc: 7.444 7.781 10.841
angles: 101.27 90.00 118.58
Atoms (fractional coordinates):
Cs  0.461  0.291  0.134
Cs  0.170  0.709  0.366
Cs  0.539  0.709  0.866
Cs  0.830  0.291  0.634
K  0.874  0.000  0.250
K  0.126  0.000  0.750
Sn  0.655  0.690  0.507
Sn  0.965  0.310  0.993
Sn  0.345  0.310  0.493
Sn  0.035  0.690  0.007

ΔH_f (0 K) = -0.145 eV per atom
space group = C2/c, No. 15
total moment = 0.0 μB/f.u.
E above lowest polymorph = 0.000 eV/atom

---

23.
Material: CsK2Sn
Method: DFT, GGA-PBE
State: optimized geometry

abc: 6.393 6.393 6.393
angles: 60.00 60.00 60.00
Atoms (fractional coordinates):
Cs  0.500  0.500  0.500
K  0.250  0.250  0.250
K  0.750  0.750  0.750
Sn  0.000  0.000  0.000

ΔH_f (0 K) = -0.044 eV per atom
space group = Fm-3m, No. 225
total moment = 1.0 μB/f.u.
E above lowest polymorph = 0.000 eV/atom

---

24.
Material: Cs12K6Sn
Method: DFT, GGA-PBE
State: optimized geometry

abc: 12.936 12.936 12.936
angles: 102.47 102.47 102.47
Atoms (fractional coordinates):
Cs  0.341  0.249  0.654
Cs  0.249  0.654  0.341
Cs  0.654  0.341  0.249
Cs  0.659  0.751  0.346
Cs  0.751  0.346  0.659
Cs  0.346  0.659  0.751
Cs  0.930  0.017  0.707
Cs  0.293  0.070  0.983
Cs  0.983  0.293  0.070
Cs  0.070  0.983  0.293
Cs  0.707  0.930  0.017
Cs  0.017  0.707  0.930
K  0.021  0.330  0.476
K  0.670  0.524  0.979
K  0.524  0.979  0.670
K  0.979  0.670  0.524
K  0.330  0.476  0.021
K  0.476  0.021  0.330
Sn  0.000  0.000  0.000

ΔH_f (0 K) = 0.057 eV per atom
space group = R-3, No. 148
total moment = 0.0 μB/f.u.